The following is a GGA-PBE calculation of a geometry-optimized Li2NbO4 structure, from the Alexandria database.

POSCAR file:
```
Li2NbO4
1.0
-0.9234 -2.4198 1.7887
4.1901 -2.6652 -1.4425
0.3364 4.9576 4.1111
O Li Nb
4 2 1
direct
0.8577 0.0563 0.7154
0.5796 0.3033 0.1592
0.4204 0.6967 0.8408
0.1423 0.9437 0.2846
0.6682 0.7530 0.3364
0.3318 0.2470 0.6636
0.0000 0.0000 0.0000
```

Values from the calculation:
The formation energy without anion corrections is -2.0236 eV per atom. Its density is 3.3 g/cm3.

***

The following is a GGA-PBE calculation of a geometry-optimized LiNbO3 structure, from the Alexandria database.

POSCAR file:
```
LiNbO3
1.0
5.2815 0.0067 -0.0258
-2.2207 4.7919 -0.0258
0.2944 0.4615 10.0005
Li O Nb
4 12 4
direct
0.6302 0.3698 0.7500
0.2465 0.7535 0.7500
0.7535 0.2465 0.2500
0.3698 0.6302 0.2500
0.8461 0.0026 0.1005
0.5544 0.0556 0.6250
0.5143 0.6009 0.8828
0.4857 0.3991 0.1172
0.9444 0.4456 0.8750
0.0556 0.5544 0.1250
0.1539 0.9974 0.8995
0.9974 0.1539 0.3995
0.0026 0.8461 0.6005
0.4456 0.9444 0.3750
0.6009 0.5143 0.3828
0.3991 0.4857 0.6172
0.3239 0.1770 0.4847
0.8230 0.6761 0.0153
0.6761 0.8230 0.5153
0.1770 0.3239 0.9847
```

Values from the calculation:
The formation energy without anion corrections is -2.4509 eV per atom. Its density is 3.9 g/cm3.

***

The following is a GGA-PBE calculation of a geometry-optimized Li4NbO2 structure, from the Alexandria database.

POSCAR file:
```
Li4NbO2
1.0
4.5490 0.0000 0.0000
0.0000 4.5490 0.0000
2.2745 2.2745 6.0156
Li O Nb
4 2 1
direct
0.0000 0.5000 0.0000
0.7558 0.7558 0.4884
0.5000 0.0000 0.0000
0.2442 0.2442 0.5116
0.3916 0.3916 0.2169
0.6084 0.6084 0.7831
0.0000 0.0000 0.0000
```

Values from the calculation:
The formation energy without anion corrections is 0.4790 eV per atom. Its density is 2.0 g/cm3.

***

The following is a GGA-PBE calculation of a geometry-optimized Li2NbO3 structure, from the Alexandria database.

POSCAR file:
```
Li2NbO3
1.0
1.5107 -2.6166 0.0000
1.5107 2.6166 0.0000
0.0000 0.0000 8.3184
O Li Nb
3 2 1
direct
0.6667 0.3333 0.8550
0.0000 0.0000 0.5000
0.3333 0.6667 0.1450
0.6667 0.3333 0.3964
0.3333 0.6667 0.6036
0.0000 0.0000 0.0000
```

Values from the calculation:
The formation energy without anion corrections is -1.9385 eV per atom. Its density is 3.9 g/cm3.